1.
Below is a geometry-optimized ZnPt2Pb structure, with properties calculated at the PBE-GGA level.

Geometry as extended XYZ:
```
4
Lattice="5.108 0.033 -0.028 3.793 3.421 -0.028 1.308 0.508 4.144" Properties=species:S:1:pos:R:3 pbc="T T T"
Pb 2.497 0.969 0.845
Pt 8.924 3.462 0.107
Pt 7.677 2.978 2.783
Zn 5.118 1.985 2.339
```

SG   Cm (8)
M_tot   0.0 μB per cell
Fermi-level density of states   0.31 states/eV per atom
ΔE_f   -57 kJ/mol of formula units


2.
Below is a geometry-optimized ZnPt2Pb structure, with properties calculated at the PBE-GGA level.

Geometry as extended XYZ:
```
4
Lattice="5.019 0.009 0.000 1.513 4.786 0.000 -3.266 -2.397 2.962" Properties=species:S:1:pos:R:3 pbc="T T T"
Pb 2.510 0.005 1.481
Pt 0.000 0.000 0.000
Pt 3.266 2.397 0.000
Zn 0.757 2.393 1.481
```

SG   I4/mmm (139)
M_tot   0.0 μB per cell
Fermi-level density of states   0.50 states/eV per atom
ΔE_f   -43 kJ/mol of formula units


3.
Below is a geometry-optimized ZnPtPb3 structure, with properties calculated at the PBE-GGA level.

Geometry as extended XYZ:
```
5
Lattice="-4.785 -0.706 -1.992 2.095 -0.922 -4.704 0.284 -5.101 1.126" Properties=species:S:1:pos:R:3 pbc="T T T"
Pb 1.047 -0.461 -2.352
Pb 0.142 -2.550 0.563
Pb -2.393 -0.353 -0.996
Zn 0.000 0.000 0.000
Pt -1.203 -3.365 -2.785
```

SG   Pm-3m (221)
M_tot   0.0 μB per cell
Fermi-level density of states   0.31 states/eV per atom
ΔE_f   293 kJ/mol of formula units


4.
Below is a geometry-optimized Zn2Pt2Pb structure, with properties calculated at the PBE-GGA level.

Geometry as extended XYZ:
```
10
Lattice="-7.429 -0.476 -2.240 2.288 -1.212 -7.331 0.037 -2.868 0.486" Properties=species:S:1:pos:R:3 pbc="T T T"
Pb 0.000 0.000 0.000
Pb -2.571 -0.844 -4.786
Zn -0.773 -1.235 -7.235
Zn -5.051 -1.175 -6.552
Zn -4.368 -0.452 -2.336
Zn -0.090 -0.512 -3.019
Pt 0.318 -2.317 -4.996
Pt -3.005 -2.762 -7.371
Pt -5.421 -2.238 -4.090
Pt -2.099 -1.793 -1.714
```

SG   P4/mbm (127)
M_tot   0.0 μB per cell
Fermi-level density of states   0.46 states/eV per atom
ΔE_f   -137 kJ/mol of formula units


5.
Below is a geometry-optimized ZnPt2Pb structure, with properties calculated at the PBE-GGA level.

Geometry as extended XYZ:
```
4
Lattice="4.068 0.000 0.000 0.000 3.158 0.025 0.000 1.547 6.062" Properties=species:S:1:pos:R:3 pbc="T T T"
Pb 2.034 3.728 4.817
Pt 0.000 0.592 0.046
Pt 2.034 0.580 2.016
Zn 0.000 2.157 2.252
```

SG   Pm (6)
M_tot   0.0 μB per cell
Fermi-level density of states   0.56 states/eV per atom
ΔE_f   -74 kJ/mol of formula units


6.
Below is a geometry-optimized Zn2Pt2Pb structure, with properties calculated at the PBE-GGA level.

Geometry as extended XYZ:
```
5
Lattice="3.823 0.000 0.000 0.000 3.823 0.000 1.911 1.911 6.348" Properties=species:S:1:pos:R:3 pbc="T T T"
Pb 0.000 0.000 0.000
Zn 3.823 1.911 3.174
Zn 1.911 3.823 3.174
Pt 1.911 1.911 1.400
Pt 3.823 3.823 4.949
```

SG   I4/mmm (139)
M_tot   0.0 μB per cell
Fermi-level density of states   0.51 states/eV per atom
ΔE_f   -148 kJ/mol of formula units


7.
Below is a geometry-optimized Zn4PtPb structure, with properties calculated at the PBE-GGA level.

Geometry as extended XYZ:
```
6
Lattice="0.000 3.707 3.707 3.707 0.000 3.707 3.707 3.707 0.000" Properties=species:S:1:pos:R:3 pbc="T T T"
Zn 2.768 4.646 4.646
Zn 4.646 4.646 2.768
Zn 4.646 2.768 4.646
Zn 2.768 2.768 2.768
Pt 0.000 0.000 0.000
Pb 5.561 5.561 5.561
```

SG   F-43m (216)
M_tot   0.0 μB per cell
Fermi-level density of states   0.17 states/eV per atom
ΔE_f   -17 kJ/mol of formula units


8.
Below is a geometry-optimized ZnPt2Pb structure, with properties calculated at the PBE-GGA level.

Geometry as extended XYZ:
```
4
Lattice="-2.468 -1.453 1.756 -0.426 -2.492 -2.659 4.025 -3.571 2.702" Properties=species:S:1:pos:R:3 pbc="T T T"
Pb 1.676 -4.743 1.645
Pt 0.006 -0.006 0.004
Pt -0.259 -3.026 0.346
Zn 1.721 -1.527 1.155
```

SG   Pmm2 (25)
M_tot   0.0 μB per cell
Fermi-level density of states   0.50 states/eV per atom
ΔE_f   -52 kJ/mol of formula units


9.
Below is a geometry-optimized Zn2PtPb2 structure, with properties calculated at the PBE-GGA level.

Geometry as extended XYZ:
```
5
Lattice="3.514 0.000 0.000 0.000 3.514 0.000 1.757 1.757 9.254" Properties=species:S:1:pos:R:3 pbc="T T T"
Pb 1.757 1.757 1.687
Pb 3.514 3.514 7.567
Zn 3.514 1.757 4.627
Zn 1.757 3.514 4.627
Pt 0.000 0.000 0.000
```

SG   I4/mmm (139)
M_tot   0.0 μB per cell
Fermi-level density of states   0.53 states/eV per atom
ΔE_f   32 kJ/mol of formula units


10.
Below is a geometry-optimized Zn2Pt2Pb structure, with properties calculated at the PBE-GGA level.

Geometry as extended XYZ:
```
10
Lattice="7.732 0.000 0.000 0.000 7.732 0.000 0.000 0.000 2.939" Properties=species:S:1:pos:R:3 pbc="T T T"
Pb 0.000 0.000 0.000
Pb 3.866 3.866 0.000
Zn 1.172 5.038 1.470
Zn 5.038 6.560 1.470
Zn 6.560 2.694 1.470
Zn 2.694 1.172 1.470
Pt 2.769 6.635 0.000
Pt 6.635 4.963 0.000
Pt 4.963 1.097 0.000
Pt 1.097 2.769 0.000
```

SG   P4/mbm (127)
M_tot   0.0 μB per cell
Fermi-level density of states   0.42 states/eV per atom
ΔE_f   -154 kJ/mol of formula units


11.
Below is a geometry-optimized ZnPt2Pb structure, with properties calculated at the PBE-GGA level.

Geometry as extended XYZ:
```
4
Lattice="3.184 0.000 0.000 0.000 3.184 0.000 0.000 0.000 7.081" Properties=species:S:1:pos:R:3 pbc="T T T"
Pb 1.592 1.592 5.311
Pt 0.000 0.000 0.321
Pt 0.000 0.000 3.219
Zn 1.592 1.592 1.770
```

SG   P4/mmm (123)
M_tot   0.0 μB per cell
Fermi-level density of states   0.53 states/eV per atom
ΔE_f   -83 kJ/mol of formula units


12.
Below is a geometry-optimized ZnPt2Pb structure, with properties calculated at the PBE-GGA level.

Geometry as extended XYZ:
```
4
Lattice="-3.421 0.396 2.383 -0.594 -4.149 -0.164 2.258 -0.455 3.319" Properties=species:S:1:pos:R:3 pbc="T T T"
Pb 0.832 -2.302 1.577
Pt 0.000 0.000 0.000
Pt -2.008 -1.877 1.109
Zn -0.581 -0.030 2.851
```

SG   P4/mmm (123)
M_tot   0.0 μB per cell
Fermi-level density of states   0.54 states/eV per atom
ΔE_f   -37 kJ/mol of formula units